1.
Material: Sm2Mg2Al5Pd
Method: DFT, PBE
State: optimized geometry

Properties
DFT formation energy, eV per atom: -0.267
ρ, Mg/m³: 4.70
VASP energy, eV/atom: -3.920

Cell lengths 10.992, 10.992, 3.452 Å; angles 90.00, 90.00, 90.00 degrees
Space group P4/mbm (No. 127)
One atom of each set of equivalent atoms:
1 Sm 0.167 0.333 0.000 [4 per cell]
2 Mg 0.137 0.637 0.000 [4 per cell]
3 Al 0.000 0.500 0.500 [2 per cell]
4 Al 0.056 0.827 0.500 [8 per cell]
5 Pd 0.000 0.000 0.000 [2 per cell]

***

2.
Material: Sm2MgAl4Pd3
Method: DFT, PBE
State: optimized geometry

Properties
DFT formation energy, eV per atom: -0.712
ρ, Mg/m³: 6.29
VASP energy, eV/atom: -4.870

Cell lengths 4.217, 4.217, 11.162 Å; angles 90.00, 90.00, 90.00 degrees
Space group P-4m2 (No. 115)
One atom of each set of equivalent atoms:
1 Sm 0.000 0.500 0.236 [2 per cell]
2 Mg 0.000 0.000 0.500 [1 per cell]
3 Al 0.000 0.000 0.000 [1 per cell]
4 Al 0.000 0.500 0.650 [2 per cell]
5 Al 0.500 0.500 0.000 [1 per cell]
6 Pd 0.000 0.500 0.872 [2 per cell]
7 Pd 0.500 0.500 0.500 [1 per cell]

***

3.
Material: SrMgAl2Pd
Method: DFT, PBE
State: optimized geometry

Properties
DFT formation energy, eV per atom: -0.340
ρ, Mg/m³: 3.81
VASP energy, eV/atom: -3.531

Cell lengths 4.866, 4.866, 5.016 Å; angles 90.00, 90.00, 90.00 degrees
Space group P4/mmm (No. 123)
One atom of each set of equivalent atoms:
1 Sr 0.000 0.000 0.000 [1 per cell]
2 Mg 0.500 0.500 0.000 [1 per cell]
3 Al 0.000 0.500 0.500 [2 per cell]
4 Pd 0.500 0.500 0.500 [1 per cell]

***

Which of these has the lowest VASP energy? Sm2MgAl4Pd3